# 1
CuAg2Cl after structural relaxation, computed with GGA-PBE.

The structure in CIF format:
```
data_CuAg2Cl
_space_group_name_H-M_alt 'C 1 m 1'
_space_group_IT_number 8
_space_group_name_Hall 'C -2y'
_cell_length_a 9.062
_cell_length_b 3.159
_cell_length_c 6.465
_cell_angle_alpha 90.00
_cell_angle_beta 96.29
_cell_angle_gamma 90.00
loop_
_atom_site_label
_atom_site_type_symbol
_atom_site_fract_x
_atom_site_fract_y
_atom_site_fract_z
Cu1 Cu 0.000 0.000 0.000
Ag1 Ag 0.029 0.500 0.665
Ag2 Ag 0.267 0.000 0.852
Cl1 Cl 0.032 0.500 0.269
```

Results
Energy relative to the elements, uncorrected = 0.005 eV per atom
D(E_F) = 2.1 states/eV/cell
Magnetic moment = 0.0 μB per cell

---

# 2
PaNbAgO6 after structural relaxation, computed with GGA-PBE.

The structure in CIF format:
```
data_PaNbAgO6
_space_group_name_H-M_alt 'P -3 1 c'
_space_group_IT_number 163
_space_group_name_Hall '-P 3 2c'
_cell_length_a 5.6706
_cell_length_b 5.6706
_cell_length_c 9.3272
_cell_angle_alpha 90.00
_cell_angle_beta 90.00
_cell_angle_gamma 120.00
loop_
_atom_site_label
_atom_site_type_symbol
_atom_site_fract_x
_atom_site_fract_y
_atom_site_fract_z
Pa1 Pa 0.3333 0.6667 0.2500
Nb1 Nb 0.3333 0.6667 0.7500
Ag1 Ag 0.0000 0.0000 0.0000
O1 O 0.0207 0.3726 0.6364
```

Results
Energy relative to the elements, uncorrected = -2.266 eV per atom
D(E_F) = 12.5 states/eV/cell
Magnetic moment = 0.0 μB per cell

---

# 3
MgZr2F after structural relaxation, computed with GGA-PBE.

The structure in CIF format:
```
data_MgZr2F
_space_group_name_H-M_alt 'I -4 2 d'
_space_group_IT_number 122
_space_group_name_Hall 'I -4 2bw'
_cell_length_a 5.467
_cell_length_b 5.467
_cell_length_c 12.853
_cell_angle_alpha 90.00
_cell_angle_beta 90.00
_cell_angle_gamma 90.00
loop_
_atom_site_label
_atom_site_type_symbol
_atom_site_fract_x
_atom_site_fract_y
_atom_site_fract_z
Mg1 Mg 0.000 0.000 0.000
Zr1 Zr 0.088 0.250 0.625
F1 F 0.000 0.000 0.500
```

Results
Energy relative to the elements, uncorrected = -0.271 eV per atom
D(E_F) = 16.6 states/eV/cell
Magnetic moment = 0.0 μB per cell

---

# 4
Tl2OsC2 after structural relaxation, computed with GGA-PBE.

The structure in CIF format:
```
data_Tl2OsC2
_space_group_name_H-M_alt 'I 4/m m m'
_space_group_IT_number 139
_space_group_name_Hall '-I 4 2'
_cell_length_a 2.695
_cell_length_b 2.695
_cell_length_c 23.766
_cell_angle_alpha 90.00
_cell_angle_beta 90.00
_cell_angle_gamma 90.00
loop_
_atom_site_label
_atom_site_type_symbol
_atom_site_fract_x
_atom_site_fract_y
_atom_site_fract_z
Tl1 Tl 0.000 0.000 0.110
Os1 Os 0.000 0.000 0.500
C1 C 0.000 0.500 0.250
```

Results
D(E_F) = 6.3 states/eV/cell
Energy of formation = 2147 meV/atom
Magnetic moment = 0.0 μB per cell

---

# 5
MgAg5Te4 after structural relaxation, computed with GGA-PBE.

The structure in CIF format:
```
data_MgAg5Te4
_space_group_name_H-M_alt 'C 1 2/m 1'
_space_group_IT_number 12
_space_group_name_Hall '-C 2y'
_cell_length_a 18.518
_cell_length_b 4.316
_cell_length_c 6.526
_cell_angle_alpha 90.00
_cell_angle_beta 105.21
_cell_angle_gamma 90.00
loop_
_atom_site_label
_atom_site_type_symbol
_atom_site_fract_x
_atom_site_fract_y
_atom_site_fract_z
Mg1 Mg 0.000 0.000 0.000
Ag1 Ag 0.000 0.000 0.500
Ag2 Ag 0.194 0.500 0.648
Ag3 Ag 0.209 0.500 0.105
Te1 Te 0.064 0.500 0.788
Te2 Te 0.150 0.000 0.325
```

Results
Energy relative to the elements, uncorrected = -0.124 eV per atom
D(E_F) = 10.4 states/eV/cell
Magnetic moment = 0.0 μB per cell

---

# 6
ZrTlIn after structural relaxation, computed with GGA-PBE.

The structure in CIF format:
```
data_ZrTlIn
_space_group_name_H-M_alt 'I m m 2'
_space_group_IT_number 44
_space_group_name_Hall 'I 2 -2'
_cell_length_a 3.208
_cell_length_b 4.197
_cell_length_c 10.714
_cell_angle_alpha 90.00
_cell_angle_beta 90.00
_cell_angle_gamma 90.00
loop_
_atom_site_label
_atom_site_type_symbol
_atom_site_fract_x
_atom_site_fract_y
_atom_site_fract_z
Zr1 Zr 0.000 0.000 0.000
Tl1 Tl 0.000 0.000 0.670
In1 In 0.000 0.000 0.342
```

Results
D(E_F) = 4.8 states/eV/cell
Energy of formation = 69 meV/atom
Magnetic moment = 0.0 μB per cell

---

# 7
SrSb2PdRu after structural relaxation, computed with GGA-PBE.

The structure in CIF format:
```
data_SrSb2PdRu
_space_group_name_H-M_alt 'P 4/m m m'
_space_group_IT_number 123
_space_group_name_Hall '-P 4 2'
_cell_length_a 5.887
_cell_length_b 5.887
_cell_length_c 5.012
_cell_angle_alpha 90.00
_cell_angle_beta 90.00
_cell_angle_gamma 90.00
loop_
_atom_site_label
_atom_site_type_symbol
_atom_site_fract_x
_atom_site_fract_y
_atom_site_fract_z
Sr1 Sr 0.000 0.000 0.000
Sb1 Sb 0.000 0.500 0.000
Pd1 Pd 0.000 0.000 0.500
Ru1 Ru 0.500 0.500 0.500
```

Results
Energy relative to the elements, uncorrected = 1.632 eV per atom
D(E_F) = 8.7 states/eV/cell
Magnetic moment = 2.7 μB per cell

---

# 8
DyTm12Ni6 after structural relaxation, computed with GGA-PBE.

The structure in CIF format:
```
data_DyTm12Ni6
_space_group_name_H-M_alt 'I m -3'
_space_group_IT_number 204
_space_group_name_Hall '-I 2 2 3'
_cell_length_a 9.697
_cell_length_b 9.697
_cell_length_c 9.697
_cell_angle_alpha 90.00
_cell_angle_beta 90.00
_cell_angle_gamma 90.00
loop_
_atom_site_label
_atom_site_type_symbol
_atom_site_fract_x
_atom_site_fract_y
_atom_site_fract_z
Dy1 Dy 0.000 0.000 0.000
Tm1 Tm 0.000 0.310 0.184
Ni1 Ni 0.000 0.125 0.500
```

Results
D(E_F) = 41.3 states/eV/cell
Energy of formation = -264 meV/atom
Magnetic moment = 0.0 μB per cell